*A*
TbDyCdPd | GGA-PBE | relaxed Values from VASP.

Calculated values
calculated volume: 23.966 Å³/atom
symmetry: No. 99

Cell and atoms, written as Quantum ESPRESSO input:
```
&SYSTEM
  ibrav = 0, nat = 4, ntyp = 4
/
ATOMIC_SPECIES
Tb 158.93 Tb.upf
Dy 162.50 Dy.upf
Cd 112.41 Cd.upf
Pd 106.42 Pd.upf
CELL_PARAMETERS angstrom
3.608 0.000 0.000
0.000 3.608 0.000
0.000 0.000 7.363
ATOMIC_POSITIONS crystal
Tb 0.000 0.000 0.000
Dy 0.000 0.000 0.455
Cd 0.500 0.500 0.726
Pd 0.500 0.500 0.230
```

***

*B*
TbDyCdPd | GGA-PBE | relaxed Values from VASP.

Calculated values
calculated volume: 23.895 Å³/atom
symmetry: No. 216

Cell and atoms, written as Quantum ESPRESSO input:
```
&SYSTEM
  ibrav = 0, nat = 4, ntyp = 4
/
ATOMIC_SPECIES
Tb 158.93 Tb.upf
Dy 162.50 Dy.upf
Cd 112.41 Cd.upf
Pd 106.42 Pd.upf
CELL_PARAMETERS angstrom
0.000 3.629 3.629
3.629 0.000 3.629
3.629 3.629 0.000
ATOMIC_POSITIONS crystal
Tb 0.000 0.000 0.000
Dy 0.500 0.500 0.500
Cd 0.250 0.250 0.250
Pd 0.750 0.750 0.750
```

***

Stability summary: most stable *A*, least stable *B*.